1.
# SrCrPCl2, optimized geometry, DFT PBE
# Total magnetic moment ... 3.0 Bohr magnetons per cell
# DOS(E_F) ... 4.3 states/eV/f.u.
# Raw total energy ... -4.21 eV/atom
data_SrCrPCl2
_symmetry_space_group_name_H-M 'P 4/m m m'
_symmetry_Int_Tables_number 123
_symmetry_space_group_name_Hall '-P 4 2'
_cell_length_a 5.449
_cell_length_b 5.449
_cell_length_c 6.118
_cell_angle_alpha 90.00
_cell_angle_beta 90.00
_cell_angle_gamma 90.00
loop_
_atom_site_label
_atom_site_fract_x
_atom_site_fract_y
_atom_site_fract_z
Sr1 0.000 0.000 0.000
Cr1 0.500 0.500 0.500
P1 0.000 0.000 0.500
Cl1 0.000 0.500 0.000

2.
# FeRhS, optimized geometry, DFT PBE
# Total magnetic moment ... 3.5 Bohr magnetons per cell
# DOS(E_F) ... 3.3 states/eV/f.u.
# Raw total energy ... -6.62 eV/atom
data_FeRhS
_symmetry_space_group_name_H-M 'C 1 m 1'
_symmetry_Int_Tables_number 8
_cell_length_a 6.818
_cell_length_b 2.963
_cell_length_c 4.319
_cell_angle_alpha 90.00
_cell_angle_beta 104.36
_cell_angle_gamma 90.00
loop_
_symmetry_equiv_pos_as_xyz
'x,y,z'
'x,-y,z'
'x+1/2,y+1/2,z'
'x+1/2,-y+1/2,z'
loop_
_atom_site_label
_atom_site_fract_x
_atom_site_fract_y
_atom_site_fract_z
Fe1 0.000 0.000 0.000
Rh1 0.268 0.500 0.383
S1 0.263 0.000 0.804

3.
# Cl2F5, optimized geometry, DFT PBE
# Total magnetic moment ... 1.4 Bohr magnetons per cell
# DOS(E_F) ... 6.2 states/eV/f.u.
# Raw total energy ... -2.34 eV/atom
data_Cl2F5
_symmetry_space_group_name_H-M 'C 1 2/m 1'
_symmetry_Int_Tables_number 12
_cell_length_a 6.545
_cell_length_b 5.408
_cell_length_c 6.952
_cell_angle_alpha 90.00
_cell_angle_beta 95.40
_cell_angle_gamma 90.00
loop_
_symmetry_equiv_pos_as_xyz
'x,y,z'
'-x,-y,-z'
'-x,y,-z'
'x,-y,z'
'x+1/2,y+1/2,z'
'-x+1/2,-y+1/2,-z'
'-x+1/2,y+1/2,-z'
'x+1/2,-y+1/2,z'
loop_
_atom_site_label
_atom_site_fract_x
_atom_site_fract_y
_atom_site_fract_z
Cl1 0.102 0.000 0.237
F1 0.000 0.000 0.500
F2 0.149 0.500 0.660
F3 0.158 0.000 0.870

4.
# NaH2F, optimized geometry, DFT PBE
# Total magnetic moment ... 0.0 Bohr magnetons per cell
# DOS(E_F) ... 0.3 states/eV/f.u.
# Raw total energy ... -3.17 eV/atom
data_NaH2F
_symmetry_space_group_name_H-M 'I 41/a m d'
_symmetry_Int_Tables_number 141
_cell_length_a 2.948
_cell_length_b 2.948
_cell_length_c 23.258
_cell_angle_alpha 90.00
_cell_angle_beta 90.00
_cell_angle_gamma 90.00
loop_
_symmetry_equiv_pos_as_xyz
'x,y,z'
'-x,-y,-z'
'-y+1/4,x+3/4,z+1/4'
'y+1/4,-x+3/4,-z+1/4'
'-x+1/2,-y,z+1/2'
'x+1/2,y,-z+1/2'
'y+1/4,-x+1/4,z+3/4'
'-y+1/4,x+1/4,-z+3/4'
'x,-y,-z'
'-x,y,z'
'-y+1/4,-x+1/4,-z+3/4'
'y+1/4,x+1/4,z+3/4'
'-x+1/2,y,-z+1/2'
'x+1/2,-y,z+1/2'
'y+1/4,x+3/4,-z+1/4'
'-y+1/4,-x+3/4,z+1/4'
'x+1/2,y+1/2,z+1/2'
'-x+1/2,-y+1/2,-z+1/2'
'-y+3/4,x+1/4,z+3/4'
'y+3/4,-x+1/4,-z+3/4'
'-x,-y+1/2,z'
'x,y+1/2,-z'
'y+3/4,-x+3/4,z+1/4'
'-y+3/4,x+3/4,-z+1/4'
'x+1/2,-y+1/2,-z+1/2'
'-x+1/2,y+1/2,z+1/2'
'-y+3/4,-x+3/4,-z+1/4'
'y+3/4,x+3/4,z+1/4'
'-x,y+1/2,-z'
'x,-y+1/2,z'
'y+3/4,x+1/4,-z+3/4'
'-y+3/4,-x+1/4,z+3/4'
loop_
_atom_site_label
_atom_site_fract_x
_atom_site_fract_y
_atom_site_fract_z
Na1 0.000 0.250 0.375
H1 0.000 0.000 0.000
F1 0.000 0.250 0.875

5.
# Hf5Sb, optimized geometry, DFT PBE
# Total magnetic moment ... 0.0 Bohr magnetons per cell
# DOS(E_F) ... 5.7 states/eV/f.u.
# Raw total energy ... -9.17 eV/atom
data_Hf5Sb
_symmetry_space_group_name_H-M 'C 1 2/m 1'
_symmetry_Int_Tables_number 12
_cell_length_a 10.386
_cell_length_b 4.100
_cell_length_c 6.546
_cell_angle_alpha 90.00
_cell_angle_beta 108.09
_cell_angle_gamma 90.00
loop_
_symmetry_equiv_pos_as_xyz
'x,y,z'
'-x,-y,-z'
'-x,y,-z'
'x,-y,z'
'x+1/2,y+1/2,z'
'-x+1/2,-y+1/2,-z'
'-x+1/2,y+1/2,-z'
'x+1/2,-y+1/2,z'
loop_
_atom_site_label
_atom_site_fract_x
_atom_site_fract_y
_atom_site_fract_z
Hf1 0.000 0.000 0.000
Hf2 0.169 0.500 0.332
Hf3 0.169 0.500 0.840
Sb1 0.000 0.000 0.500

6.
# Tb2Pm3DyEr6, optimized geometry, DFT PBE
# ΔH_f (0 K) ... 0.02 eV per atom
# Total magnetic moment ... 0.0 Bohr magnetons per cell
# DOS(E_F) ... 15.1 states/eV/f.u.
data_Tb2Pm3DyEr6
_symmetry_space_group_name_H-M 'C 1 2/m 1'
_symmetry_Int_Tables_number 12
_cell_length_a 6.164
_cell_length_b 10.669
_cell_length_c 11.722
_cell_angle_alpha 90.00
_cell_angle_beta 100.05
_cell_angle_gamma 90.00
loop_
_symmetry_equiv_pos_as_xyz
'x,y,z'
'-x,-y,-z'
'-x,y,-z'
'x,-y,z'
'x+1/2,y+1/2,z'
'-x+1/2,-y+1/2,-z'
'-x+1/2,y+1/2,-z'
'x+1/2,-y+1/2,z'
loop_
_atom_site_label
_atom_site_fract_x
_atom_site_fract_y
_atom_site_fract_z
Tb1 0.000 0.167 0.000
Pm1 0.000 0.000 0.500
Pm2 0.000 0.333 0.500
Dy1 0.000 0.500 0.000
Er1 0.249 0.333 0.248
Er2 0.250 0.000 0.248

7.
# TbErGaPt, optimized geometry, DFT PBE
# ΔH_f (0 K) ... -0.94 eV per atom
# Total magnetic moment ... 0.0 Bohr magnetons per cell
# DOS(E_F) ... 2.8 states/eV/f.u.
data_TbErGaPt
_symmetry_space_group_name_H-M 'A m m 2'
_symmetry_Int_Tables_number 38
_cell_length_a 4.445
_cell_length_b 3.762
_cell_length_c 10.886
_cell_angle_alpha 90.00
_cell_angle_beta 90.00
_cell_angle_gamma 90.00
loop_
_symmetry_equiv_pos_as_xyz
'x,y,z'
'-x,-y,z'
'-x,y,z'
'x,-y,z'
'x,y+1/2,z+1/2'
'-x,-y+1/2,z+1/2'
'-x,y+1/2,z+1/2'
'x,-y+1/2,z+1/2'
loop_
_atom_site_label
_atom_site_fract_x
_atom_site_fract_y
_atom_site_fract_z
Tb1 0.000 0.000 0.000
Er1 0.500 0.000 0.716
Ga1 0.000 0.000 0.279
Pt1 0.500 0.000 0.434

8.
# NiPtRh2, optimized geometry, DFT PBE
# ΔH_f (0 K) ... 0.10 eV per atom
# Total magnetic moment ... 0.0 Bohr magnetons per cell
# DOS(E_F) ... 6.5 states/eV/f.u.
data_NiPtRh2
_symmetry_space_group_name_H-M 'I m m m'
_symmetry_Int_Tables_number 71
_symmetry_space_group_name_Hall '-I 2 2'
_cell_length_a 2.717
_cell_length_b 4.511
_cell_length_c 9.120
_cell_angle_alpha 90.00
_cell_angle_beta 90.00
_cell_angle_gamma 90.00
loop_
_atom_site_label
_atom_site_fract_x
_atom_site_fract_y
_atom_site_fract_z
Ni1 0.000 0.000 0.000
Pt1 0.000 0.000 0.500
Rh1 0.000 0.500 0.267